# 1
This record from OQMD via LeMat-Bulk describes an optimized crystal structure of InSb5Mo3. The functional is PBE-GGA.

Results
The calculation puts the total energy at -54.58 eV per cell.

CIF file:
```
data_InSb5Mo3
_chemical_formula_sum 'In1 Sb5 Mo3'
_symmetry_space_group_name_H-M 'P 6/m m m'
_symmetry_Int_Tables_number 191
_symmetry_space_group_name_Hall '-P 6 2'
_cell_length_a 5.5699
_cell_length_b 5.5699
_cell_length_c 8.4194
_cell_angle_alpha 90.00
_cell_angle_beta 90.00
_cell_angle_gamma 120.00
loop_
_atom_site_label
_atom_site_fract_x
_atom_site_fract_y
_atom_site_fract_z
_atom_site_occupancy
In1 0.0000 0.0000 0.0000 1
Sb1 0.0000 0.0000 0.5000 1
Sb2 0.3333 0.6667 0.2169 1
Mo1 0.0000 0.5000 0.5000 1
```

---

# 2
This record from OQMD via LeMat-Bulk describes an optimized crystal structure of DyPaAg. The functional is PBE-GGA.

Results
The calculation puts the offset from the most stable computed form at 0.00 eV/f.u. The value obtained for the formation energy is 1.7 eV/f.u.

CIF file:
```
data_DyPaAg
_chemical_formula_sum 'Dy4 Pa4 Ag4'
_symmetry_space_group_name_H-M 'F -4 3 m'
_symmetry_Int_Tables_number 216
_symmetry_space_group_name_Hall 'F -4 2 3'
_cell_length_a 7.012
_cell_length_b 7.012
_cell_length_c 7.012
_cell_angle_alpha 90.00
_cell_angle_beta 90.00
_cell_angle_gamma 90.00
loop_
_atom_site_label
_atom_site_fract_x
_atom_site_fract_y
_atom_site_fract_z
_atom_site_occupancy
Dy1 0.000 0.000 0.000 1
Pa1 0.000 0.000 0.500 1
Ag1 0.250 0.250 0.250 1
```

---

# 3
This record from OQMD via LeMat-Bulk describes an optimized crystal structure of GdTlCuTe3. The functional is PBE-GGA.

Results
The calculation puts the total energy at -97.18 eV per cell.

CIF file:
```
data_GdTlCuTe3
_chemical_formula_sum 'Gd4 Tl4 Cu4 Te12'
_symmetry_space_group_name_H-M 'C m c m'
_symmetry_Int_Tables_number 63
_symmetry_space_group_name_Hall '-C 2c 2'
_cell_length_a 4.199
_cell_length_b 15.453
_cell_length_c 11.424
_cell_angle_alpha 90.00
_cell_angle_beta 90.00
_cell_angle_gamma 90.00
loop_
_atom_site_label
_atom_site_fract_x
_atom_site_fract_y
_atom_site_fract_z
_atom_site_occupancy
Gd1 0.000 0.000 0.000 1
Tl1 0.000 0.248 0.250 1
Cu1 0.000 0.467 0.750 1
Te1 0.000 0.073 0.750 1
Te2 0.000 0.363 0.567 1
```

---

# 4
This record from OQMD via LeMat-Bulk describes an optimized crystal structure of ScCoCuSb. The functional is PBE-GGA.

Results
The calculation puts the offset from the most stable computed form at 0.00 eV/f.u.

CIF file:
```
data_ScCoCuSb
_chemical_formula_sum 'Sc4 Co4 Cu4 Sb4'
_symmetry_space_group_name_H-M 'F -4 3 m'
_symmetry_Int_Tables_number 216
_symmetry_space_group_name_Hall 'F -4 2 3'
_cell_length_a 6.284
_cell_length_b 6.284
_cell_length_c 6.284
_cell_angle_alpha 90.00
_cell_angle_beta 90.00
_cell_angle_gamma 90.00
loop_
_atom_site_label
_atom_site_fract_x
_atom_site_fract_y
_atom_site_fract_z
_atom_site_occupancy
Sc1 0.000 0.000 0.000 1
Co1 0.250 0.250 0.750 1
Cu1 0.250 0.250 0.250 1
Sb1 0.000 0.000 0.500 1
```